No. 1
Compound: VTeH2
Source: Alexandria
Functional: GGA-PBE
Structure: relaxed

Cell: 5.804 5.804 5.804 Å, 90.00 90.00 90.00°
Space group Fm-3m (No. 225)
Inequivalent atoms, fractional coordinates:
V 0.000 0.000 0.000
Te 0.000 0.000 0.500
H 0.250 0.250 0.250

- crystal system = cubic
- energy relative to the lowest polymorph listed for this composition (meV/atom) = 465
- VASP energy (Ha/atom) = -0.1464
- M_tot (Bohr magnetons per cell) = 12.0



No. 2
Compound: V2CrHg2S6
Source: Alexandria
Functional: GGA-PBE
Structure: relaxed

Cell: 5.515 9.550 9.480 Å, 90.00 102.41 90.00°
Space group C2/m (No. 12)
Inequivalent atoms, fractional coordinates:
V 0.000 0.167 0.000
Cr 0.000 0.500 0.000
Hg 0.000 0.332 0.500
S 0.225 0.334 0.158
S 0.226 0.000 0.158

- crystal system = monoclinic
- energy relative to the elements, uncorrected (eV per atom) = -0.625
- VASP energy (Ha/atom) = -0.2008
- M_tot (Bohr magnetons per cell) = 1.8



No. 3
Compound: Y6PdSe3S2
Source: Alexandria
Functional: GGA-PBE
Structure: relaxed

Cell: 17.728 3.976 8.199 Å, 90.00 103.65 90.00°
Space group C2/m (No. 12)
Inequivalent atoms, fractional coordinates:
Y 0.004 0.000 0.243
Y 0.166 0.500 0.097
Y 0.171 0.500 0.572
Pd 0.000 0.500 0.000
Se 0.000 0.500 0.500
Se 0.167 0.000 0.832
S 0.168 0.000 0.336

- crystal system = monoclinic
- energy relative to the elements, uncorrected (eV per atom) = -1.690
- VASP energy (Ha/atom) = -0.2541
- M_tot (Bohr magnetons per cell) = 0.0



No. 4
Compound: Ce4Ru2Pb
Source: Alexandria
Functional: GGA-PBE
Structure: relaxed

Cell: 4.557 12.120 13.384 Å, 90.00 90.00 90.00°
Space group Cmcm (No. 63)
Inequivalent atoms, fractional coordinates:
Ce 0.000 0.000 0.000
Ce 0.000 0.273 0.110
Ce 0.000 0.411 0.750
Ru 0.000 0.393 0.555
Pb 0.000 0.108 0.750

- crystal system = orthorhombic
- VASP energy (Ha/atom) = -0.2542
- M_tot (Bohr magnetons per cell) = 8.5



No. 5
Compound: HfTh2Hg
Source: Alexandria
Functional: GGA-PBE
Structure: relaxed

Cell: 3.3122 3.3122 35.3929 Å, 90.00 90.00 120.00°
Space group R-3m (No. 166, hexagonal axes)
Inequivalent atoms, fractional coordinates:
Hf 0.0000 0.0000 0.0000
Th 0.0000 0.0000 0.0875
Hg 0.0000 0.0000 0.5000

- crystal system = trigonal
- energy relative to the lowest polymorph listed for this composition (meV/atom) = 316
- VASP energy (Ha/atom) = -0.2196
- M_tot (Bohr magnetons per cell) = 0.0



No. 6
Compound: IrF4
Source: Alexandria
Functional: GGA-PBE
Structure: relaxed

Cell: 4.844 5.566 5.822 Å, 61.97 89.91 90.00°
Space group P-1 (No. 2)
Inequivalent atoms, fractional coordinates:
Ir 0.000 0.000 0.000
Ir 0.500 0.500 0.000
F 0.227 0.853 0.303
F 0.249 0.330 0.839
F 0.251 0.830 0.840
F 0.272 0.352 0.303

- crystal system = triclinic
- energy relative to the elements, uncorrected (eV per atom) = -1.321
- energy relative to the lowest polymorph listed for this composition (meV/atom) = 40
- VASP energy (Ha/atom) = -0.1687
- M_tot (Bohr magnetons per cell) = 2.0



No. 7
Compound: LaAs2PbBr
Source: Alexandria
Functional: GGA-PBE
Structure: relaxed

Cell: 5.374 5.374 5.515 Å, 90.00 90.00 90.00°
Space group P4/mmm (No. 123)
Inequivalent atoms, fractional coordinates:
La 0.000 0.000 0.000
As 0.000 0.500 0.500
Pb 0.500 0.500 0.500
Br 0.500 0.500 0.000

- crystal system = tetragonal
- energy relative to the elements, uncorrected (eV per atom) = -0.104
- energy relative to the lowest polymorph listed for this composition (meV/atom) = 25
- VASP energy (Ha/atom) = -0.1479
- M_tot (Bohr magnetons per cell) = 0.2



No. 8
Compound: SiB2Cl
Source: Alexandria
Functional: GGA-PBE
Structure: relaxed

Cell: 5.816 5.816 5.816 Å, 90.00 90.00 90.00°
Space group Fm-3m (No. 225)
Inequivalent atoms, fractional coordinates:
Si 0.000 0.000 0.000
B 0.250 0.250 0.250
Cl 0.000 0.000 0.500

- crystal system = cubic
- energy relative to the elements, uncorrected (eV per atom) = 1.875
- energy relative to the lowest polymorph listed for this composition (meV/atom) = 1769
- VASP energy (Ha/atom) = -0.1206
- M_tot (Bohr magnetons per cell) = 0.0